{
  "formula": "Pr8AlSn2",
  "functional": "PBE-GGA",
  "state": "relaxed",
  "lattice": [[5.341, 0.000, 0.000], [0.000, 7.025, 0.095], [-2.671, -2.872, 9.449]],
  "species": ["Al", "Sn", "Pr", "Pr", "Pr", "Pr", "Pr", "Pr", "Pr", "Pr", "Sn"],
  "fractional_positions": [[0.500, 0.000, 0.000], [0.176, 0.745, 0.353], [0.344, 0.007, 0.687], [0.787, 0.685, 0.575], [0.656, 0.993, 0.313], [0.213, 0.315, 0.425], [0.591, 0.473, 0.182], [0.409, 0.527, 0.818], [0.988, 0.228, 0.977], [0.012, 0.772, 0.023], [0.824, 0.255, 0.647]],
  "e_form_ev_per_atom": -0.329,
  "total_energy_ev_per_cell": -53.61,
  "sg": "C2/m, No. 12",
  "vol_a3_per_cell": 356.0
}